K2FeO2 | GGA+U | optimized geometry

- ρ: 2.625 g/cm3
- Energy: -4.8626 eV per atom
- Space-group type: C2/m

POSCAR file:
```
K2FeO2
1.0
-4.041 -2.094 -3.122
-0.240 -6.597 -0.143
-5.242 -3.099 3.985
K Fe O
4 2 4
direct
0.980 0.294 0.746
0.672 0.260 0.397
0.020 0.706 0.254
0.328 0.740 0.603
0.368 0.136 0.127
0.632 0.864 0.873
0.799 0.755 0.647
0.482 0.213 0.822
0.518 0.787 0.178
0.201 0.245 0.353
```